## LaZn2Pd2Pt (PBE)

Data for LaZn2Pd2Pt after structural relaxation.

```
data_LaZn2Pd2Pt
_chemical_formula_sum 'La1 Zn2 Pd2 Pt1'
_symmetry_space_group_name_H-M 'P 1'
_symmetry_Int_Tables_number 1
_symmetry_space_group_name_Hall 'P 1'
_cell_length_a 4.764
_cell_length_b 4.764
_cell_length_c 5.563
_cell_angle_alpha 90.00
_cell_angle_beta 90.00
_cell_angle_gamma 90.00
loop_
_atom_site_label
_atom_site_type_symbol
_atom_site_fract_x
_atom_site_fract_y
_atom_site_fract_z
La1 La 0.000 0.000 0.000
Zn1 Zn 0.000 0.500 0.500
Zn2 Zn 0.500 0.000 0.500
Pd1 Pd 0.500 0.500 0.247
Pd2 Pd 0.500 0.500 0.753
Pt1 Pt 0.000 0.000 0.500
```

- SG = P4/mmm (123)
- DOS(E_F) (states/eV/cell) = 2.255
- uncorrected energy (eV/f.u.) = -26.78
- crystal system = tetragonal